--- A ---
The following is a DFT calculation (PBE) of a relaxed K2YCl crystal. Values from VASP.

Geometry as Quantum ESPRESSO input:
```
&SYSTEM
  ibrav = 0, nat = 4, ntyp = 3
/
ATOMIC_SPECIES
Y 88.91 Y.upf
K 39.10 K.upf
Cl 35.45 Cl.upf
ATOMIC_POSITIONS crystal
Y 0.750 0.750 0.750
K 0.000 0.000 0.000
K 0.250 0.250 0.250
Cl 0.500 0.500 0.500
CELL_PARAMETERS angstrom
-5.804 -2.403 0.234
-0.857 -5.984 1.722
-2.631 -1.327 5.552
```

Summary:
Crystal system ... cubic

---

--- B ---
The following is a DFT calculation (PBE) of a relaxed K2YCl crystal. Values from VASP.

Geometry as Quantum ESPRESSO input:
```
&SYSTEM
  ibrav = 0, nat = 4, ntyp = 3
/
ATOMIC_SPECIES
Y 88.91 Y.upf
K 39.10 K.upf
Cl 35.45 Cl.upf
ATOMIC_POSITIONS crystal
Y 0.500 0.500 0.500
K 0.250 0.250 0.250
K 0.750 0.750 0.750
Cl 0.000 0.000 0.000
CELL_PARAMETERS angstrom
4.522 -2.749 3.622
1.455 2.472 5.735
-1.642 -3.130 5.350
```

Summary:
Crystal system ... cubic

---

Most stable structure - A; separation to the second - 0.7 kJ/mol of atoms.

---

--- A ---
The following is a DFT calculation (PBE) of a relaxed K2YCl crystal. Values from VASP.

Geometry as Quantum ESPRESSO input:
```
&SYSTEM
  ibrav = 0, nat = 4, ntyp = 3
/
ATOMIC_SPECIES
Y 88.91 Y.upf
K 39.10 K.upf
Cl 35.45 Cl.upf
ATOMIC_POSITIONS crystal
Y 0.250 0.750 0.500
K 0.000 0.000 0.000
K 0.500 0.500 0.000
Cl 0.750 0.250 0.500
CELL_PARAMETERS angstrom
7.616 0.024 0.000
4.593 6.075 0.000
-6.104 -3.050 3.382
```

Summary:
Crystal system ... tetragonal

---

--- B ---
The following is a DFT calculation (PBE) of a relaxed K2YCl crystal. Values from VASP.

Geometry as Quantum ESPRESSO input:
```
&SYSTEM
  ibrav = 0, nat = 4, ntyp = 3
/
ATOMIC_SPECIES
Y 88.91 Y.upf
K 39.10 K.upf
Cl 35.45 Cl.upf
ATOMIC_POSITIONS crystal
Y 0.000 0.656 0.561
K 0.000 0.980 0.917
K 0.500 0.303 0.271
Cl 0.500 0.561 0.750
CELL_PARAMETERS angstrom
-1.708 1.259 3.007
-2.074 -3.215 0.168
7.050 -6.472 6.713
```

Summary:
Crystal system ... monoclinic

---

--- C ---
The following is a DFT calculation (PBE) of a relaxed K2YCl crystal. Values from VASP.

Geometry as Quantum ESPRESSO input:
```
&SYSTEM
  ibrav = 0, nat = 4, ntyp = 3
/
ATOMIC_SPECIES
Y 88.91 Y.upf
K 39.10 K.upf
Cl 35.45 Cl.upf
ATOMIC_POSITIONS crystal
Y 0.000 0.000 0.564
K 0.000 0.000 0.925
K 0.500 0.500 0.276
Cl 0.500 0.500 0.735
CELL_PARAMETERS angstrom
3.607 0.000 0.000
0.000 3.607 0.000
0.000 0.000 11.586
```

Summary:
Crystal system ... tetragonal

---

Most stable structure - B; separation to the second - 8.6 kJ/mol of atoms.